First-principles (PBE) data for PmSmLuGa after structural relaxation, as listed in Alexandria.

Geometry as extended XYZ:
```
4
Lattice="5.365 0.000 0.000 2.682 4.646 0.000 2.682 1.549 4.380" Properties=species:S:1:pos:R:3 pbc="T T T"
Lu 8.047 4.646 3.285
Ga 2.682 1.549 1.095
Pm 0.000 0.000 0.000
Sm 5.365 3.097 2.190
```

Results
Calculated total energy in eV/cell: -17.5
Magnetization in μB per formula unit: 0.01
Crystal system: cubic